# KCoP2O

A geometry-optimized KCoP2O structure (GGA+U, Alexandria via LeMat-Bulk). Values from VASP.

Quantum ESPRESSO input file:
```
&SYSTEM
  ibrav = 0, nat = 5, ntyp = 4
/
ATOMIC_SPECIES
K 39.10 K.upf
Co 58.93 Co.upf
P 30.97 P.upf
O 16.00 O.upf
CELL_PARAMETERS angstrom
4.266 0.000 0.000
0.000 4.266 0.000
0.000 0.000 4.844
ATOMIC_POSITIONS angstrom
K 0.000 0.000 0.000
Co 2.133 2.133 2.422
P 0.000 2.133 2.422
P 2.133 0.000 2.422
O 2.133 2.133 0.000
```

Summary:
E	-4.1068	eV per atom
total magnetization	0.5	μB/f.u.
space-group type	P4/mmm, No. 123